No. 1
RbTb2CuBr8, optimized geometry, DFT GGA-PBE; mass density = 3.615 g cm⁻³; total DFT energy (no corrections) = -3.8609 eV per atom; space group = P-1, No. 2
1.0
-0.643 -7.627 -1.328
5.671 -3.933 -5.769
3.950 -2.083 7.240
Br Tb Rb Cu
8 2 1 1
direct
0.093 0.622 0.280
0.512 0.705 0.502
0.074 0.764 0.811
0.926 0.236 0.189
0.488 0.295 0.498
0.501 0.285 0.936
0.499 0.715 0.064
0.907 0.378 0.720
0.508 0.527 0.758
0.492 0.473 0.242
0.000 0.000 0.500
0.000 0.000 0.000



No. 2
TlReAu2, optimized geometry, DFT GGA-PBE; mass density = 17.359 g cm⁻³; energy of formation = 0.5697 eV/atom; space group = R3m, No. 160
1.0
9.933 -0.029 -0.017
9.496 2.915 -0.017
9.496 1.411 2.551
Au Tl Re
2 1 1
direct
0.247 0.247 0.247
0.994 0.994 0.994
0.753 0.753 0.753
0.506 0.506 0.506



No. 3
LaAs3Cl, optimized geometry, DFT GGA-PBE; mass density = 5.443 g cm⁻³; total DFT energy (no corrections) = -4.1136 eV per atom; space group = Pm-3m, No. 221
1.0
-3.861 -1.759 -2.562
0.812 -4.515 1.877
-2.999 1.042 3.806
As Cl La
3 1 1
direct
0.000 0.500 0.000
0.500 0.000 0.000
0.000 0.000 0.500
0.000 0.000 0.000
0.500 0.500 0.500



No. 4
Cr2HgRu, optimized geometry, DFT GGA-PBE; mass density = 11.280 g cm⁻³; energy of formation = 0.3854 eV/atom; space group = Pmmm, No. 47
1.0
-1.855 1.971 0.823
-2.262 -2.694 1.356
2.567 0.343 4.964
Cr Ru Hg
2 1 1
direct
0.000 0.000 0.560
0.000 0.000 0.940
0.500 0.500 0.750
0.500 0.500 0.250



No. 5
Nd2In3Hg3, optimized geometry, DFT GGA-PBE; mass density = 9.906 g cm⁻³; energy of formation = -0.4134 eV/atom; space group = Pmmm, No. 47
1.0
4.656 0.000 0.000
0.000 4.696 0.000
0.000 0.000 9.465
In Hg Nd
3 3 2
direct
0.500 0.500 0.750
0.500 0.000 0.000
0.500 0.500 0.250
0.000 0.500 0.000
0.000 0.500 0.500
0.500 0.000 0.500
0.000 0.000 0.250
0.000 0.000 0.750



No. 6
ZnGaBi2I, optimized geometry, DFT GGA-PBE; mass density = 7.249 g cm⁻³; total DFT energy (no corrections) = -2.3714 eV per atom; space group = P4/mmm, No. 123
1.0
5.749 0.000 0.000
0.000 4.713 0.000
0.000 0.000 5.749
Bi I Zn Ga
2 1 1 1
direct
0.500 0.000 0.000
0.000 0.000 0.500
0.500 0.500 0.500
0.000 0.500 0.000
0.000 0.000 0.000



No. 7
YIn2Sn, optimized geometry, DFT GGA-PBE; mass density = 7.134 g cm⁻³; energy of formation = -0.4105 eV/atom; space group = I-4m2, No. 119
1.0
4.506 0.000 0.000
0.000 4.506 0.000
-2.253 -2.253 5.014
In Y Sn
2 1 1
direct
0.500 0.500 0.000
0.750 0.250 0.500
0.000 0.000 0.000
0.250 0.750 0.500



No. 8
Li3CeGe3, optimized geometry, DFT GGA-PBE; mass density = 4.303 g cm⁻³; energy of formation = 0.1301 eV/atom; space group = Pm-3n, No. 223
1.0
6.637 0.000 0.000
0.000 6.637 0.000
0.000 0.000 6.637
Ge Li Ce
6 6 2
direct
0.000 0.750 0.500
0.250 0.500 0.000
0.500 0.000 0.250
0.000 0.250 0.500
0.750 0.500 0.000
0.500 0.000 0.750
0.500 0.750 0.000
0.500 0.250 0.000
0.750 0.000 0.500
0.250 0.000 0.500
0.000 0.500 0.250
0.000 0.500 0.750
0.000 0.000 0.000
0.500 0.500 0.500



Number 1: Fermi-level density of states 0.000 states/eV per atom. Number 2: Fermi-level density of states 0.954 states/eV per atom. Number 3: Fermi-level density of states 0.604 states/eV per atom. Number 4: Fermi-level density of states 1.107 states/eV per atom. Number 5: Fermi-level density of states 0.561 states/eV per atom. Number 6: Fermi-level density of states 1.114 states/eV per atom. Number 7: Fermi-level density of states 0.493 states/eV per atom. Number 8: Fermi-level density of states 1.307 states/eV per atom.